No. 1
Computed, not measured: crystalline Fe3Co5 at its relaxed geometry at the GGA-PBE level of DFT.

The space-group type is Amm2. Its total energy is -0.559 Ry/atom. For the magnetization, the calculation gives 16.88 μB/f.u. The density of states at the Fermi level is 8.04 states/eV/cell. The mass density comes out at 8.45 Mg/m³.

a b c (Å): 6.3004 6.3004 2.8115
angles (deg): 90.00 90.00 125.53
Closest atoms and distances in Å follow each position.
Fractional coordinates of all 8 atoms:
Co (0.0062, 0.9992, 0.0000)  2 Fe 2.42, 6 Co 2.47-2.48
Co (0.6254, 0.8743, 0.5000)  4 Fe 2.43-2.45, 4 Co 2.47-2.48
Co (0.2492, 0.7562, 0.0000)  2 Fe 2.42, 6 Co 2.47-2.48
Co (0.8676, 0.6176, 0.5000)  4 Fe 2.44, 4 Co 2.47
Co (0.1243, 0.3754, 0.5000)  4 Fe 2.43-2.45, 4 Co 2.47-2.48
Fe (0.4995, 0.5036, 0.0000)  6 Co 2.43-2.45, 2 Fe 2.47
Fe (0.7536, 0.2495, 0.0000)  6 Co 2.43-2.45, 2 Fe 2.47
Fe (0.3743, 0.1243, 0.5000)  4 Co 2.42, 4 Fe 2.47

No. 2
Computed, not measured: crystalline HfTi3Bi at its relaxed geometry at the GGA-PBE level of DFT.

The space-group type is I4mm. As for the distance to the lowest polymorph of the same formula: 0.174 eV per atom. Its total energy is -0.547 Ry/atom. For the magnetization, the calculation gives 0.00 μB/f.u. The density of states at the Fermi level is 3.72 states/eV/cell. The mass density comes out at 8.41 Mg/m³.

a b c (Å): 3.9349 3.9349 7.3239
angles (deg): 105.58 105.58 90.00
Closest atoms and distances in Å follow each position.
Fractional coordinates of all 5 atoms:
Hf (0.9886, 0.9886, 0.9771)  4 Ti 2.96, 4 Bi 3.29
Ti (0.2845, 0.7845, 0.5689)  6 Ti 2.64-2.78
Ti (0.7845, 0.2845, 0.5689)  6 Ti 2.64-2.78
Ti (0.4145, 0.4145, 0.8290)  4 Ti 2.64, 1 Bi 2.76, 4 Hf 2.96
Bi (0.6183, 0.6183, 0.2366)  5 Ti 2.76-2.99

No. 3
Computed, not measured: crystalline Cs2ThAgSe4 at its relaxed geometry at the GGA-PBE level of DFT.

The space-group type is C2/c. The uncorrected formation energy comes out at -1.04 eV per atom. Its total energy is -0.314 Ry/atom. For the magnetization, the calculation gives 0.00 μB/f.u. The density of states at the Fermi level is 10.49 states/eV/cell. The mass density comes out at 5.14 Mg/m³.

a b c (Å): 8.6334 8.6334 8.7613
angles (deg): 106.64 106.64 91.41
Closest atoms and distances in Å follow each position.
Fractional coordinates of all 16 atoms:
Cs (0.5000, 0.0000, 0.0000)  4 Se 3.45-3.56
Cs (0.5000, 0.0000, 0.5000)  4 Se 3.45-3.56
Cs (0.0000, 0.0000, 0.5000)  6 Se 3.53-3.73
Cs (0.5000, 0.5000, 0.0000)  6 Se 3.53-3.73
Th (0.0000, 0.5000, 0.0000)  6 Se 2.90-2.98
Th (0.0000, 0.5000, 0.5000)  6 Se 2.90-2.98
Ag (0.5000, 0.5000, 0.5000)  2 Se 2.61
Ag (0.0000, 0.0000, 0.0000)  2 Se 2.61
Se (0.1442, 0.7142, 0.8502)  1 Ag 2.93, 2 Th 2.97-2.98
Se (0.7858, 0.3558, 0.6498)  1 Ag 2.93, 2 Th 2.97-2.98
Se (0.2142, 0.6442, 0.3502)  1 Ag 2.93, 2 Th 2.97-2.98
Se (0.8558, 0.2858, 0.1498)  1 Ag 2.93, 2 Th 2.97-2.98
Se (0.8339, 0.7876, 0.0693)  1 Ag 2.61, 1 Th 2.90
Se (0.7124, 0.6661, 0.4307)  1 Ag 2.61, 1 Th 2.90
Se (0.2876, 0.3339, 0.5693)  1 Ag 2.61, 1 Th 2.90
Se (0.1661, 0.2124, 0.9307)  1 Ag 2.61, 1 Th 2.90